(1)
This record from the Alexandria database describes an optimized crystal structure of In2GaPt2. The functional is GGA-PBE.

The structure belongs to space group I4/mmm (No. 139); the cell edges are 4.271, 4.271 and 12.010 Å and the angles 90.00°, 90.00° and 90.00°. The distinct sites, in fractional coordinates, are In at (0.000, 0.500, 0.250), Ga at (0.000, 0.000, 0.000) and Pt at (0.000, 0.000, 0.392).

The value obtained for the volume is 219.1 Å³ per cell. As for the crystal system: tetragonal. The formation energy is -0.64 eV per formula unit. For the total energy, the calculation gives -4.246 eV per atom.



(2)
This record from the Alexandria database describes an optimized crystal structure of DyNiSb2. The functional is GGA-PBE.

The structure belongs to space group P4/nmm (No. 129, origin choice 2); the cell edges are 4.355, 4.355 and 9.432 Å and the angles 90.00°, 90.00° and 90.00°. The distinct sites, in fractional coordinates, are Dy at (0.250, 0.250, 0.237), Ni at (0.250, 0.750, 0.000), Sb at (0.250, 0.250, 0.857) and Sb at (0.250, 0.750, 0.500).

The value obtained for the volume is 178.9 Å³ per cell. As for the crystal system: tetragonal. Its raw formation energy is -681 meV per atom. For the total energy, the calculation gives -5.338 eV per atom.



(3)
This record from the Alexandria database describes an optimized crystal structure of YRhI2O. The functional is GGA-PBE.

The structure belongs to space group P4/mmm (No. 123); the cell edges are 6.111, 6.111 and 4.130 Å and the angles 90.00°, 90.00° and 90.00°. The distinct sites, in fractional coordinates, are Y at (0.000, 0.000, 0.000), Rh at (0.500, 0.500, 0.500), I at (0.000, 0.500, 0.000) and O at (0.000, 0.000, 0.500).

The value obtained for the volume is 154.2 Å³ per cell. The offset from the most stable computed form is 0.00 kcal/mol of atoms. As for the crystal system: tetragonal. Its raw formation energy is -558 meV per atom. For the total energy, the calculation gives -4.933 eV per atom.



Short version: N(E_F) = 3.023; 3.512; 6.497 states/eV/f.u., in the order given.